{"formula": "Ba2SrBi2O6", "functional": "PBE", "state": "relaxed", "cell": [[3.171, 1.831, 6.637], [-3.171, 1.831, 6.637], [0.000, -3.661, 6.637]], "species": ["Ba", "Ba", "Sr", "Bi", "Bi", "O", "O", "O", "O", "O", "O"], "frac_coords": [[0.190, 0.190, 0.190], [0.810, 0.810, 0.810], [0.000, 0.000, 0.000], [0.381, 0.381, 0.381], [0.619, 0.619, 0.619], [0.231, 0.746, 0.746], [0.254, 0.254, 0.769], [0.254, 0.769, 0.254], [0.746, 0.231, 0.746], [0.746, 0.746, 0.231], [0.769, 0.254, 0.254]], "dft_energy_ha_per_atom": -0.2154}